An optimized crystal structure of CaTa2In. Source: the Alexandria database, functional GGA-PBE.

Calculated values
- energy (eV per atom) = -6.6366

Unit cell a=6.089 b=6.089 c=6.089 alpha=149.35 beta=127.51 gamma=62.02
Sites, in units of the cell vectors:
Ca1 0.000 0.000 0.000
Ta1 0.519 0.519 0.000
Ta2 0.723 0.223 0.500
In1 0.274 0.774 0.500

---

An optimized crystal structure of CaTa2In. Source: the Alexandria database, functional GGA-PBE.

Calculated values
- energy (eV per atom) = -6.7138

Unit cell a=5.137 b=5.137 c=6.068 alpha=96.45 beta=96.45 gamma=34.13
Sites, in units of the cell vectors:
Ca1 0.000 0.000 0.000
Ta1 0.501 0.501 0.483
Ta2 0.769 0.769 0.304
In1 0.244 0.244 0.735

---

Q: Which value of energy does entry 1 give?
A: -6.6366 eV per atom